DFT (PBE) results for a relaxed MnPBr crystal.

a = 7.3351 Å, b = 7.6591 Å, c = 3.3436 Å
α = 71.75°, β = 82.59°, γ = 25.65°
Fractional positions:
Mn: 0.3245 0.3245 0.6755
Br: 0.9536 0.9536 0.0464
P: 0.7219 0.7219 0.2781

Output
VASP energy	-5.367	eV per atom
density	3.8	g/cm³
ΔE_f (raw)	0.050	eV per atom
SG	Fmm2 (42)